# 1
First-principles (PBE) data for a relaxed structure of NbCoN2Cl, as listed in the Alexandria database.

Values from the calculation:
The value obtained for the energy above the most stable polymorph in this dataset is 0.0 kJ/mol of atoms. The density of states at the Fermi level is 0.34 states/eV/atom.

Cell lengths 3.834, 3.834, 6.770 Å; angles 87.20, 87.83, 90.00 degrees
Atoms (fractional coordinates):
Cl 0.159 0.093 0.629
Nb 0.136 0.063 0.970
Co 0.629 0.554 0.069
N 0.129 0.554 0.076
N 0.629 0.054 0.076

=====

# 2
First-principles (PBE) data for a relaxed structure of SmAg3F6, as listed in the Alexandria database.

Values from the calculation:
The value obtained for the total energy is -4.638 eV per atom.

Cell lengths 3.949, 6.988, 6.988 Å; angles 113.57, 90.00, 90.00 degrees
Atoms (fractional coordinates):
F 0.000 0.868 0.634
F 0.000 0.132 0.366
F 0.000 0.634 0.868
F 0.000 0.366 0.132
F 0.500 0.611 0.389
F 0.500 0.389 0.611
Ag 0.500 0.000 0.500
Ag 0.000 0.000 0.000
Ag 0.500 0.500 0.000
Sm 0.000 0.500 0.500

=====

| no. | magnetization (μB/f.u.) |
| --- | --- |
| 1 | 1.2 |
| 2 | 0.0 |